SrVO3: optimized geometry, GGA+U.

* VASP energy: -7.2373 eV per atom

abc: 11.2115 7.4652 7.4652
angles: 93.04 128.47 51.53
Last column: nearest neighbours and their distance in Å.
Positions (direct):
V 0.2672 0.3496 0.4626  4 O 1.74-1.93
Sr 0.7500 0.1544 0.6544  6 O 2.43-2.56
O 0.1408 0.2571 0.2840  1 V 1.74
V 0.2328 0.9626 0.8496  4 O 1.74-1.93
O 0.6408 0.2160 0.2429  1 V 1.74
V 0.7328 0.6504 0.5374  4 O 1.74-1.93
O 0.6558 0.5696 0.6382  1 V 1.78
Sr 0.7500 0.5765 0.0765  6 O 2.50-2.75
O 0.4620 0.9213 0.1511  2 V 1.91-1.93
O 0.3592 0.7840 0.7571  1 V 1.74
O 0.9620 0.3489 0.5787  2 V 1.91-1.93
O 0.8592 0.7429 0.7160  1 V 1.74
O 0.0380 0.6511 0.4213  2 V 1.91-1.93
Sr 0.2500 0.8456 0.3456  6 O 2.43-2.56
O 0.5380 0.0787 0.8489  2 V 1.91-1.93
O 0.1558 0.8618 0.9304  1 V 1.78
Sr 0.2500 0.4235 0.9235  6 O 2.50-2.75
O 0.8442 0.1382 0.0696  1 V 1.78
V 0.7672 0.0374 0.1504  4 O 1.74-1.93
O 0.3442 0.4304 0.3618  1 V 1.78